# PBE HfPaNi2P2, relaxed
# **Symmetry**: P-3m1 (164)
# **Energy**: -8.040 eV per atom
# **ρ**: 10.4 g/cm3
data_HfPaNi2P2
_cell_length_a 3.8192
_cell_length_b 3.8192
_cell_length_c 7.4531
_cell_angle_alpha 90.00
_cell_angle_beta 90.00
_cell_angle_gamma 120.00
_symmetry_space_group_name_H-M 'P 1'
_symmetry_Int_Tables_number 1
_symmetry_space_group_name_Hall 'P 1'
loop_
_atom_site_label
_atom_site_type_symbol
_atom_site_fract_x
_atom_site_fract_y
_atom_site_fract_z
Hf1 Hf 0.0000 0.0000 0.0000
Pa1 Pa 0.0000 0.0000 0.5000
Ni1 Ni 0.3333 0.6667 0.2423
Ni2 Ni 0.6667 0.3333 0.7577
P1 P 0.3333 0.6667 0.7646
P2 P 0.6667 0.3333 0.2354

=====

# PBE SiOs2Pb, relaxed
# **Symmetry**: Cmm2 (35)
# **Energy above the lowest structure with this stoichiometry**: 1.93 eV/f.u.
# **Energy**: -7.060 eV per atom
# **Formation energy (no corrections)**: 0.84 eV per atom
# **ρ**: 14.0 g/cm3
data_SiOs2Pb
_cell_length_a 2.9373
_cell_length_b 4.9820
_cell_length_c 10.0060
_cell_angle_alpha 90.00
_cell_angle_beta 90.00
_cell_angle_gamma 90.00
_symmetry_space_group_name_H-M 'P 1'
_symmetry_Int_Tables_number 1
_symmetry_space_group_name_Hall 'P 1'
loop_
_atom_site_label
_atom_site_type_symbol
_atom_site_fract_x
_atom_site_fract_y
_atom_site_fract_z
Si1 Si 0.0000 0.0000 0.0000
Si2 Si 0.5000 0.5000 0.0000
Os1 Os 0.0000 0.0000 0.4168
Os2 Os 0.0000 0.5000 0.1974
Os3 Os 0.5000 0.0000 0.1974
Os4 Os 0.5000 0.5000 0.4168
Pb1 Pb 0.0000 0.5000 0.6795
Pb2 Pb 0.5000 0.0000 0.6795

=====

# PBE Pr2AuI, relaxed
# **Symmetry**: R3m (160)
# **Energy above the lowest structure with this stoichiometry**: 0.00 eV/f.u.
# **Energy**: -4.428 eV per atom
# **Formation energy (no corrections)**: -0.83 eV per atom
# **ρ**: 7.7 g/cm3
data_Pr2AuI
_cell_length_a 4.2729
_cell_length_b 4.2729
_cell_length_c 24.9433
_cell_angle_alpha 90.00
_cell_angle_beta 90.00
_cell_angle_gamma 120.00
_symmetry_space_group_name_H-M 'P 1'
_symmetry_Int_Tables_number 1
_symmetry_space_group_name_Hall 'P 1'
loop_
_atom_site_label
_atom_site_type_symbol
_atom_site_fract_x
_atom_site_fract_y
_atom_site_fract_z
Pr1 Pr 0.0000 0.0000 0.0000
Pr2 Pr 0.0000 0.0000 0.1954
Pr3 Pr 0.3333 0.6667 0.6667
Pr4 Pr 0.3333 0.6667 0.8621
Pr5 Pr 0.6667 0.3333 0.3333
Pr6 Pr 0.6667 0.3333 0.5287
Au1 Au 0.0000 0.0000 0.5968
Au2 Au 0.3333 0.6667 0.2634
Au3 Au 0.6667 0.3333 0.9301
I1 I 0.0000 0.0000 0.7648
I2 I 0.3333 0.6667 0.4315
I3 I 0.6667 0.3333 0.0981

=====

# PBE Pm12YGe7, relaxed
# **Symmetry**: R-3 (148)
# **Energy**: -5.233 eV per atom
# **ρ**: 6.0 g/cm3
data_Pm12YGe7
_cell_length_a 9.3062
_cell_length_b 9.3062
_cell_length_c 9.3062
_cell_angle_alpha 108.13
_cell_angle_beta 108.13
_cell_angle_gamma 108.13
_symmetry_space_group_name_H-M 'P 1'
_symmetry_Int_Tables_number 1
_symmetry_space_group_name_Hall 'P 1'
loop_
_atom_site_label
_atom_site_type_symbol
_atom_site_fract_x
_atom_site_fract_y
_atom_site_fract_z
Pm1 Pm 0.0307 0.1098 0.3437
Pm2 Pm 0.1098 0.3437 0.0307
Pm3 Pm 0.1951 0.5681 0.7255
Pm4 Pm 0.2745 0.8049 0.4319
Pm5 Pm 0.3437 0.0307 0.1098
Pm6 Pm 0.4319 0.2745 0.8049
Pm7 Pm 0.5681 0.7255 0.1951
Pm8 Pm 0.6563 0.9693 0.8902
Pm9 Pm 0.7255 0.1951 0.5681
Pm10 Pm 0.8049 0.4319 0.2745
Pm11 Pm 0.8902 0.6563 0.9693
Pm12 Pm 0.9693 0.8902 0.6563
Y1 Y 0.5000 0.5000 0.5000
Ge1 Ge 0.0000 0.0000 0.0000
Ge2 Ge 0.1442 0.4552 0.3771
Ge3 Ge 0.3771 0.1442 0.4552
Ge4 Ge 0.4552 0.3771 0.1442
Ge5 Ge 0.5448 0.6229 0.8558
Ge6 Ge 0.6229 0.8558 0.5448
Ge7 Ge 0.8558 0.5448 0.6229

=====

# PBE BaSc3Ga, relaxed
# **Symmetry**: Pm-3m (221)
# **Energy above the lowest structure with this stoichiometry**: 5.68 eV/f.u.
# **Energy**: -3.539 eV per atom
# **ρ**: 3.8 g/cm3
data_BaSc3Ga
_cell_length_a 5.3252
_cell_length_b 5.3252
_cell_length_c 5.3252
_cell_angle_alpha 90.00
_cell_angle_beta 90.00
_cell_angle_gamma 90.00
_symmetry_space_group_name_H-M 'P 1'
_symmetry_Int_Tables_number 1
_symmetry_space_group_name_Hall 'P 1'
loop_
_atom_site_label
_atom_site_type_symbol
_atom_site_fract_x
_atom_site_fract_y
_atom_site_fract_z
Ba1 Ba 0.0000 0.0000 0.0000
Sc1 Sc 0.0000 0.0000 0.5000
Sc2 Sc 0.0000 0.5000 0.0000
Sc3 Sc 0.5000 0.0000 0.0000
Ga1 Ga 0.5000 0.5000 0.5000

=====

# PBE Ce2HoPaN4, relaxed
# **Symmetry**: P2/m (10)
# **Energy**: -9.020 eV per atom
# **Formation energy (no corrections)**: -1.61 eV per atom
# **ρ**: 9.8 g/cm3
data_Ce2HoPaN4
_cell_length_a 6.0550
_cell_length_b 3.5222
_cell_length_c 6.1424
_cell_angle_alpha 90.00
_cell_angle_beta 109.15
_cell_angle_gamma 90.00
_symmetry_space_group_name_H-M 'P 1'
_symmetry_Int_Tables_number 1
_symmetry_space_group_name_Hall 'P 1'
loop_
_atom_site_label
_atom_site_type_symbol
_atom_site_fract_x
_atom_site_fract_y
_atom_site_fract_z
Ce1 Ce 0.0000 0.0000 0.0000
Ce2 Ce 0.5000 0.5000 0.0000
Ho1 Ho 0.0000 0.5000 0.5000
Pa1 Pa 0.5000 0.0000 0.5000
N1 N 0.2545 0.0000 0.7329
N2 N 0.2629 0.5000 0.2728
N3 N 0.7371 0.5000 0.7272
N4 N 0.7455 0.0000 0.2671

=====

# PBE CePu3Pt3, relaxed
# **Symmetry**: C2/m (12)
# **Energy**: -10.188 eV per atom
# **ρ**: 14.6 g/cm3
data_CePu3Pt3
_cell_length_a 6.9864
_cell_length_b 6.9864
_cell_length_c 6.8197
_cell_angle_alpha 92.73
_cell_angle_beta 92.73
_cell_angle_gamma 92.33
_symmetry_space_group_name_H-M 'P 1'
_symmetry_Int_Tables_number 1
_symmetry_space_group_name_Hall 'P 1'
loop_
_atom_site_label
_atom_site_type_symbol
_atom_site_fract_x
_atom_site_fract_y
_atom_site_fract_z
Ce1 Ce 0.2456 0.2456 0.4078
Ce2 Ce 0.7544 0.7544 0.5922
Pu1 Pu 0.1953 0.8047 0.0000
Pu2 Pu 0.2767 0.7233 0.5000
Pu3 Pu 0.3197 0.3197 0.0029
Pu4 Pu 0.6803 0.6803 0.9971
Pu5 Pu 0.7233 0.2767 0.5000
Pu6 Pu 0.8047 0.1953 0.0000
Pt1 Pt 0.0280 0.4763 0.7492
Pt2 Pt 0.0539 0.0539 0.7068
Pt3 Pt 0.4763 0.0280 0.7492
Pt4 Pt 0.5237 0.9720 0.2508
Pt5 Pt 0.9461 0.9461 0.2932
Pt6 Pt 0.9720 0.5237 0.2508

=====

# PBE RbSm2GeO5, relaxed
# **Symmetry**: I4/mcm (140)
# **Energy**: -6.783 eV per atom
# **Formation energy (no corrections)**: -2.36 eV per atom
# **ρ**: 6.5 g/cm3
data_RbSm2GeO5
_cell_length_a 7.6063
_cell_length_b 7.6063
_cell_length_c 7.6063
_cell_angle_alpha 126.70
_cell_angle_beta 126.70
_cell_angle_gamma 78.73
_symmetry_space_group_name_H-M 'P 1'
_symmetry_Int_Tables_number 1
_symmetry_space_group_name_Hall 'P 1'
loop_
_atom_site_label
_atom_site_type_symbol
_atom_site_fract_x
_atom_site_fract_y
_atom_site_fract_z
Rb1 Rb 0.2500 0.2500 0.0000
Rb2 Rb 0.7500 0.7500 0.0000
Sm1 Sm 0.1784 0.6784 0.8568
Sm2 Sm 0.3216 0.1784 0.5000
Sm3 Sm 0.6784 0.8216 0.5000
Sm4 Sm 0.8216 0.3216 0.1432
Ge1 Ge 0.2500 0.7500 0.5000
Ge2 Ge 0.7500 0.2500 0.5000
O1 O 0.0000 0.0000 0.0000
O2 O 0.0095 0.2396 0.5000
O3 O 0.2396 0.7396 0.2301
O4 O 0.2604 0.4905 0.5000
O5 O 0.4905 0.9905 0.2301
O6 O 0.5000 0.5000 0.0000
O7 O 0.5095 0.0095 0.7699
O8 O 0.7396 0.5095 0.5000
O9 O 0.7604 0.2604 0.7699
O10 O 0.9905 0.7604 0.5000

=====

- Among the records above, which one has the highest energy?
  BaSc3Ga

=====

- Among the records above, which one has the lowest energy?
  CePu3Pt3

=====

What did the second record say?
# PBE SiOs2Pb, relaxed
# **Symmetry**: Cmm2 (35)
# **Energy above the lowest structure with this stoichiometry**: 1.93 eV/f.u.
# **Energy**: -7.060 eV per atom
# **Formation energy (no corrections)**: 0.84 eV per atom
# **ρ**: 14.0 g/cm3
data_SiOs2Pb
_cell_length_a 2.9373
_cell_length_b 4.9820
_cell_length_c 10.0060
_cell_angle_alpha 90.00
_cell_angle_beta 90.00
_cell_angle_gamma 90.00
_symmetry_space_group_name_H-M 'P 1'
_symmetry_Int_Tables_number 1
_symmetry_space_group_name_Hall 'P 1'
loop_
_atom_site_label
_atom_site_type_symbol
_atom_site_fract_x
_atom_site_fract_y
_atom_site_fract_z
Si1 Si 0.0000 0.0000 0.0000
Si2 Si 0.5000 0.5000 0.0000
Os1 Os 0.0000 0.0000 0.4168
Os2 Os 0.0000 0.5000 0.1974
Os3 Os 0.5000 0.0000 0.1974
Os4 Os 0.5000 0.5000 0.4168
Pb1 Pb 0.0000 0.5000 0.6795
Pb2 Pb 0.5000 0.0000 0.6795